# Cs2BeCoI6

A geometry-optimized Cs2BeCoI6 structure (PBE-GGA, Alexandria via LeMat-Bulk).

```
data_Cs2BeCoI6
_space_group_name_H-M_alt 'P 1'
_space_group_IT_number 1
_cell_length_a 8.030
_cell_length_b 8.030
_cell_length_c 8.312
_cell_angle_alpha 61.12
_cell_angle_beta 61.12
_cell_angle_gamma 90.00
loop_
_space_group_symop_operation_xyz
'x,y,z'
loop_
_atom_site_label
_atom_site_type_symbol
_atom_site_fract_x
_atom_site_fract_y
_atom_site_fract_z
_atom_site_occupancy
Cs1 Cs 0.750 0.250 0.500 1
Cs2 Cs 0.250 0.750 0.500 1
I1 I 0.211 0.211 0.577 1
I2 I 0.789 0.789 0.423 1
I3 I 0.272 0.272 0.000 1
I4 I 0.728 0.728 0.000 1
I5 I 0.728 0.272 0.000 1
I6 I 0.272 0.728 0.000 1
Co1 Co 0.000 0.000 0.000 1
Be1 Be 0.500 0.500 0.000 1
```

formation energy without anion corrections: -595 meV per atom
M_tot: 0.30 μB/atom
SG: I4/mmm (139)
E: -27.79 eV for the cell shown